Below is Zr2ZnRe after structural relaxation, with properties calculated at the PBE level.

## Properties
Density of states at the Fermi level ... 0.61 states/eV/atom
E_form ... 0.009 eV per atom
DFT total energy ... -7.6952 eV/atom
Total magnetization ... 0.0 μB per formula unit

POSCAR file:
```
Zr2ZnRe
1.0
8.812 0.026 0.016
8.210 3.201 0.016
8.210 1.557 2.797
Zr Re Zn
2 1 1
Direct
0.996 0.996 0.996
0.504 0.504 0.504
0.250 0.250 0.250
0.750 0.750 0.750
```